Run A
CeAlZnNi | PBE-GGA | optimized geometry

Output
* crystal system: trigonal
* total magnetic moment: 0.248 μB per atom

Unit cell a=4.1289 b=4.1289 c=5.7572 alpha=68.99 beta=68.99 gamma=60.00
Closest atoms and distances in Å follow each position.
Fractional coordinates of all 4 atoms:
1 Ni 0.3010 0.3010 0.0969  3 Al 2.43, 3 Zn 2.49
2 Al 0.6034 0.6034 0.1897  3 Ni 2.43, 3 Zn 2.67
3 Ce 0.8078 0.8078 0.5765  4 Zn 3.12-3.23, 4 Al 3.13-3.21, 3 Ni 3.46
4 Zn 0.0135 0.0135 0.9594  3 Ni 2.49, 3 Al 2.67


Run B
CeAlZnNi | PBE-GGA | optimized geometry

Output
* crystal system: cubic
* total magnetic moment: 0.000 μB per atom

Unit cell a=4.6419 b=4.6419 c=4.6419 alpha=60.00 beta=60.00 gamma=60.00
Closest atoms and distances in Å follow each position.
Fractional coordinates of all 4 atoms:
1 Zn 0.7500 0.7500 0.7500  4 Ce 2.84, 4 Al 2.84
2 Ni 0.2500 0.2500 0.2500  4 Ce 2.84, 4 Al 2.84
3 Al 0.5000 0.5000 0.5000  4 Ni 2.84, 4 Zn 2.84
4 Ce 0.0000 0.0000 0.0000  4 Zn 2.84, 4 Ni 2.84


Energetically preferred structure: run B | next structure: +49 meV/atom


Run A
Ce8AlOs2 | PBE-GGA | optimized geometry

Output
* crystal system: triclinic
* total magnetic moment: 0.098 μB per atom

Unit cell a=5.3743 b=6.4107 c=8.8635 alpha=109.67 beta=105.77 gamma=89.52
Closest atoms and distances in Å follow each position.
Fractional coordinates of all 11 atoms:
1 Ce 0.3354 0.8646 0.3531  2 Os 2.75-3.03, 2 Ce 2.84-2.89
2 Ce 0.1369 0.4943 0.9536  3 Ce 2.87-3.02, 1 Al 3.21
3 Ce 0.2938 0.3854 0.2523  3 Ce 2.87-2.95, 3 Os 3.04-3.19
4 Ce 0.9601 0.4412 0.4762  2 Os 2.76-2.99, 2 Ce 2.85-2.95
5 Ce 0.5529 0.7181 0.7317  1 Os 2.63, 1 Ce 2.84
6 Ce 0.9840 0.0365 0.5441  2 Ce 2.84-2.85, 2 Os 2.97-3.09
7 Ce 0.6137 0.2696 0.9011  2 Os 2.86-2.92, 3 Ce 3.00-3.17
8 Ce 0.7115 0.9172 0.0852  1 Os 2.61, 1 Ce 2.84
9 Os 0.5217 0.2874 0.5729  3 Ce 2.63-2.86
10 Os 0.7654 0.6195 0.2296  3 Ce 2.61-2.92
11 Al 0.1247 0.9662 0.9003  10 Ce 3.17-3.35


Run B
Ce8AlOs2 | PBE-GGA | optimized geometry

Output
* crystal system: monoclinic
* total magnetic moment: 0.091 μB per atom

Unit cell a=5.1793 b=8.3954 c=7.8563 alpha=57.70 beta=82.27 gamma=75.42
Closest atoms and distances in Å follow each position.
Fractional coordinates of all 11 atoms:
1 Os 0.0000 0.6874 0.6252  6 Ce 2.72-3.02
2 Os 0.0000 0.3126 0.3748  6 Ce 2.72-3.02
3 Ce 0.5000 0.2497 0.5006  2 Os 2.72
4 Ce 0.0624 0.7170 0.2152  2 Ce 2.85-2.86, 2 Os 3.02-3.07
5 Ce 0.6781 0.6013 0.0000  1 Ce 2.81, 2 Os 3.00
6 Ce 0.9376 0.2830 0.7848  2 Ce 2.85-2.86, 2 Os 3.02-3.07
7 Ce 0.5000 0.7503 0.4994  2 Os 2.72
8 Ce 0.0624 0.9322 0.7848  2 Ce 2.85-2.86, 2 Os 3.02-3.07
9 Ce 0.3219 0.3987 0.0000  1 Ce 2.81, 2 Os 3.00
10 Ce 0.9376 0.0678 0.2152  2 Ce 2.85-2.86, 2 Os 3.02-3.07
11 Al 0.5000 0.0000 0.0000  12 Ce 3.24-3.32


Energetically preferred structure: run A | next structure: +31 meV/atom


Run A
CePa2Al | PBE-GGA | optimized geometry

Output
* crystal system: cubic
* total magnetic moment: 0.001 μB per atom

Unit cell a=5.0691 b=5.0691 c=5.0691 alpha=60.00 beta=60.00 gamma=60.00
Closest atoms and distances in Å follow each position.
Fractional coordinates of all 4 atoms:
1 Al 0.5000 0.5000 0.5000  8 Pa 3.10
2 Ce 0.0000 0.0000 0.0000  8 Pa 3.10
3 Pa 0.2500 0.2500 0.2500  4 Al 3.10, 4 Ce 3.10
4 Pa 0.7500 0.7500 0.7500  4 Ce 3.10, 4 Al 3.10


Run B
CePa2Al | PBE-GGA | optimized geometry

Output
* crystal system: tetragonal
* total magnetic moment: 0.000 μB per atom

Unit cell a=4.6389 b=4.5202 c=4.5202 alpha=90.00 beta=90.00 gamma=90.00
Closest atoms and distances in Å follow each position.
Fractional coordinates of all 4 atoms:
1 Pa 0.0000 0.5000 0.0000  4 Pa 3.20, 4 Ce 3.24, 4 Al 3.24
2 Pa 0.0000 0.0000 0.5000  4 Pa 3.20, 4 Ce 3.24, 4 Al 3.24
3 Ce 0.5000 0.5000 0.5000  4 Al 3.20, 8 Pa 3.24
4 Al 0.5000 0.0000 0.0000  4 Ce 3.20, 8 Pa 3.24


Energetically preferred structure: run B | next structure: +172 meV/atom


Run A
CePaAl2 | PBE-GGA | optimized geometry

Output
* crystal system: trigonal
* total magnetic moment: 0.000 μB per atom

Unit cell a=3.0824 b=3.0824 c=10.8438 alpha=81.83 beta=81.83 gamma=60.00
Closest atoms and distances in Å follow each position.
Fractional coordinates of all 4 atoms:
1 Al 0.2513 0.2513 0.2462  6 Al 3.08, 3 Pa 3.18, 3 Ce 3.25
2 Al 0.7487 0.7487 0.7538  6 Al 3.08, 3 Pa 3.18, 3 Ce 3.25
3 Pa 0.0000 0.0000 0.0000  6 Pa 3.08, 6 Al 3.18
4 Ce 0.5000 0.5000 0.5000  6 Ce 3.08, 6 Al 3.25


Run B
CePaAl2 | PBE-GGA | optimized geometry

Output
* crystal system: tetragonal
* total magnetic moment: 0.000 μB per atom

Unit cell a=4.5378 b=4.3887 c=4.3887 alpha=90.00 beta=90.00 gamma=90.00
Closest atoms and distances in Å follow each position.
Fractional coordinates of all 4 atoms:
1 Pa 0.5000 0.5000 0.5000  4 Ce 3.10, 8 Al 3.16
2 Al 0.0000 0.5000 0.0000  4 Al 3.10, 4 Ce 3.16, 4 Pa 3.16
3 Al 0.0000 0.0000 0.5000  4 Al 3.10, 4 Pa 3.16, 4 Ce 3.16
4 Ce 0.5000 0.0000 0.0000  4 Pa 3.10, 8 Al 3.16


Energetically preferred structure: run B | next structure: +107 meV/atom


Run A
CePaAl2 | PBE-GGA | optimized geometry

Output
* crystal system: cubic
* total magnetic moment: 0.493 μB per atom

Unit cell a=5.1113 b=5.1113 c=5.1113 alpha=60.00 beta=60.00 gamma=60.00
Closest atoms and distances in Å follow each position.
Fractional coordinates of all 4 atoms:
1 Pa 0.0000 0.0000 0.0000  8 Al 3.13
2 Ce 0.5000 0.5000 0.5000  8 Al 3.13
3 Al 0.2500 0.2500 0.2500  4 Ce 3.13, 4 Pa 3.13
4 Al 0.7500 0.7500 0.7500  4 Ce 3.13, 4 Pa 3.13


Run B
CePaAl2 | PBE-GGA | optimized geometry

Output
* crystal system: tetragonal
* total magnetic moment: 0.001 μB per atom

Unit cell a=3.0935 b=3.0935 c=9.1541 alpha=90.00 beta=90.00 gamma=90.00
Closest atoms and distances in Å follow each position.
Fractional coordinates of all 4 atoms:
1 Al 0.0000 0.0000 0.2457  4 Al 3.09, 4 Pa 3.14, 4 Ce 3.19
2 Al 0.0000 0.0000 0.7543  4 Al 3.09, 4 Pa 3.14, 4 Ce 3.19
3 Pa 0.5000 0.5000 0.0000  4 Pa 3.09, 8 Al 3.14
4 Ce 0.5000 0.5000 0.5000  4 Ce 3.09, 8 Al 3.19


Energetically preferred structure: run B | next structure: +197 meV/atom


Run A
CeAlPb2 | PBE-GGA | optimized geometry

Output
* crystal system: tetragonal
* total magnetic moment: 0.183 μB per atom

Unit cell a=4.6670 b=4.7588 c=4.7588 alpha=90.00 beta=90.00 gamma=90.00
Closest atoms and distances in Å follow each position.
Fractional coordinates of all 4 atoms:
1 Pb 0.0000 0.5000 0.0000  4 Ce 3.33, 4 Al 3.33, 4 Pb 3.36
2 Pb 0.0000 0.0000 0.5000  4 Ce 3.33, 4 Al 3.33, 4 Pb 3.36
3 Al 0.5000 0.5000 0.5000  8 Pb 3.33, 4 Ce 3.36
4 Ce 0.5000 0.0000 0.0000  8 Pb 3.33, 4 Al 3.36


Run B
CeAlPb2 | PBE-GGA | optimized geometry

Output
* crystal system: trigonal
* total magnetic moment: 0.271 μB per atom

Unit cell a=4.9818 b=4.9818 c=5.9464 alpha=65.24 beta=65.24 gamma=60.00
Closest atoms and distances in Å follow each position.
Fractional coordinates of all 4 atoms:
1 Pb 0.2716 0.2716 0.1852  3 Al 3.03, 3 Ce 3.31
2 Pb 0.7284 0.7284 0.8148  3 Al 3.03, 3 Ce 3.31
3 Al 0.0000 0.0000 0.0000  6 Pb 3.03
4 Ce 0.5000 0.5000 0.5000  8 Pb 3.31-3.57


Energetically preferred structure: run A | next structure: +241 meV/atom


Run A
CeAl3Pd2 | PBE-GGA | optimized geometry

Output
* crystal system: monoclinic
* total magnetic moment: 0.129 μB per atom

Unit cell a=4.2399 b=8.5722 c=10.0940 alpha=107.92 beta=90.00 gamma=104.32
Closest atoms and distances in Å follow each position.
Fractional coordinates of all 18 atoms:
1 Al 0.3696 0.7392 0.7991  4 Pd 2.48-2.63, 1 Al 2.70
2 Al 0.3270 0.6540 0.0355  4 Pd 2.58-2.62, 1 Al 2.70
3 Al 0.0432 0.0863 0.3594  4 Pd 2.57-2.64, 3 Al 2.75-2.77
4 Al 0.6730 0.3460 0.9645  4 Pd 2.58-2.62, 1 Al 2.70
5 Al 0.7864 0.5728 0.6102  4 Pd 2.46-2.62, 1 Al 2.75
6 Al 0.9568 0.9137 0.6406  4 Pd 2.57-2.64, 3 Al 2.75-2.77
7 Al 0.6304 0.2608 0.2009  4 Pd 2.48-2.63, 1 Al 2.70
8 Al 0.2136 0.4272 0.3898  4 Pd 2.46-2.62, 1 Al 2.75
9 Al 0.5000 0.0000 0.5000  4 Pd 2.51-2.70, 4 Al 2.77
10 Pd 0.5229 0.0458 0.7766  5 Al 2.57-2.70
11 Pd 0.1975 0.3949 0.1246  6 Al 2.58-2.62
12 Pd 0.3608 0.7216 0.5492  7 Al 2.46-2.64
13 Pd 0.4771 0.9542 0.2234  5 Al 2.57-2.70
14 Pd 0.6392 0.2784 0.4508  7 Al 2.46-2.64
15 Pd 0.8025 0.6051 0.8754  6 Al 2.58-2.62
16 Ce 0.0000 0.0000 0.0000  6 Pd 3.12-3.20, 6 Al 3.24-3.47
17 Ce 0.8416 0.6833 0.2931  9 Al 3.20-3.51, 6 Pd 3.25-3.33
18 Ce 0.1584 0.3167 0.7069  9 Al 3.20-3.51, 6 Pd 3.25-3.33


Run B
CeAl3Pd2 | PBE-GGA | optimized geometry

Output
* crystal system: orthorhombic
* total magnetic moment: 0.147 μB per atom

Unit cell a=5.4900 b=6.4585 c=6.4585 alpha=101.37 beta=90.00 gamma=90.00
Closest atoms and distances in Å follow each position.
Fractional coordinates of all 12 atoms:
1 Ce 0.2500 0.3444 0.3444  7 Al 3.19-3.35, 4 Pd 3.42
2 Ce 0.7500 0.6556 0.6556  7 Al 3.19-3.35, 4 Pd 3.42
3 Al 0.2500 0.9551 0.9551  4 Pd 2.56, 4 Al 2.63-2.84
4 Al 0.7500 0.4589 0.0988  4 Pd 2.51-2.68, 1 Al 2.63
5 Al 0.7500 0.0449 0.0449  4 Pd 2.56, 4 Al 2.63-2.84
6 Al 0.2500 0.9012 0.5411  4 Pd 2.51-2.68, 1 Al 2.63
7 Al 0.2500 0.5411 0.9012  4 Pd 2.51-2.68, 1 Al 2.63
8 Al 0.7500 0.0988 0.4589  4 Pd 2.51-2.68, 1 Al 2.63
9 Pd 0.0000 0.7868 0.2132  6 Al 2.51-2.68, 2 Pd 2.74
10 Pd 0.5000 0.2132 0.7868  6 Al 2.51-2.68, 2 Pd 2.74
11 Pd 0.5000 0.7868 0.2132  6 Al 2.51-2.68, 2 Pd 2.74
12 Pd 0.0000 0.2132 0.7868  6 Al 2.51-2.68, 2 Pd 2.74


Energetically preferred structure: run A | next structure: +25 meV/atom


Run A
CeAl3Pd | PBE-GGA | optimized geometry

Output
* crystal system: tetragonal
* total magnetic moment: 0.120 μB per atom

Unit cell a=6.2956 b=6.2956 c=6.2956 alpha=141.10 beta=141.10 gamma=56.18
Closest atoms and distances in Å follow each position.
Fractional coordinates of all 5 atoms:
1 Al 0.6146 0.6146 0.0000  3 Al 2.55-2.58, 2 Pd 2.58
2 Al 0.7500 0.2500 0.5000  4 Al 2.58
3 Al 0.3854 0.3854 0.0000  3 Al 2.55-2.58, 2 Pd 2.58
4 Ce 0.0000 0.0000 0.0000  12 Al 3.23-3.48, 4 Pd 3.48
5 Pd 0.2500 0.7500 0.5000  4 Al 2.58


Run B
CeAl3Pd | PBE-GGA | optimized geometry

Output
* crystal system: orthorhombic
* total magnetic moment: 0.094 μB per atom

Unit cell a=4.2429 b=8.3853 c=10.9409 alpha=90.00 beta=90.00 gamma=90.00
Closest atoms and distances in Å follow each position.
Fractional coordinates of all 20 atoms:
1 Al 0.2500 0.8846 0.7944  2 Pd 2.44-2.48
2 Al 0.7500 0.9354 0.5881  3 Pd 2.56-2.60, 2 Al 2.73-2.86
3 Al 0.2500 0.3846 0.7056  2 Pd 2.44-2.48
4 Al 0.7500 0.6392 0.7170  2 Pd 2.63, 2 Al 2.73-2.86
5 Al 0.2500 0.3608 0.2830  2 Pd 2.63, 2 Al 2.73-2.86
6 Al 0.7500 0.1392 0.7830  2 Pd 2.63, 2 Al 2.73-2.86
7 Al 0.7500 0.1154 0.2056  2 Pd 2.44-2.48
8 Al 0.2500 0.8608 0.2170  2 Pd 2.63, 2 Al 2.73-2.86
9 Al 0.7500 0.4354 0.9119  3 Pd 2.56-2.60, 2 Al 2.73-2.86
10 Al 0.2500 0.0646 0.4119  3 Pd 2.56-2.60, 2 Al 2.73-2.86
11 Al 0.7500 0.6154 0.2944  2 Pd 2.44-2.48
12 Al 0.2500 0.5646 0.0881  3 Pd 2.56-2.60, 2 Al 2.73-2.86
13 Ce 0.2500 0.6805 0.5117  8 Al 3.11-3.40, 2 Pd 3.29
14 Ce 0.7500 0.8195 0.0117  8 Al 3.11-3.40, 2 Pd 3.29
15 Ce 0.2500 0.1805 0.9883  8 Al 3.11-3.40, 2 Pd 3.29
16 Ce 0.7500 0.3195 0.4883  8 Al 3.11-3.40, 2 Pd 3.29
17 Pd 0.7500 0.4003 0.1443  7 Al 2.44-2.63
18 Pd 0.7500 0.9003 0.3557  7 Al 2.44-2.63
19 Pd 0.2500 0.5997 0.8557  7 Al 2.44-2.63
20 Pd 0.2500 0.0997 0.6443  7 Al 2.44-2.63


Run C
CeAl3Pd | PBE-GGA | optimized geometry

Output
* crystal system: tetragonal
* total magnetic moment: 0.106 μB per atom

Unit cell a=4.2938 b=4.2938 c=6.1603 alpha=110.40 beta=110.40 gamma=90.00
Closest atoms and distances in Å follow each position.
Fractional coordinates of all 5 atoms:
1 Al 0.7631 0.2631 0.5261  2 Pd 2.49, 2 Al 2.71
2 Al 0.2631 0.7631 0.5261  2 Pd 2.49, 2 Al 2.71
3 Al 0.4177 0.4177 0.8354  1 Pd 2.44, 4 Al 2.71
4 Pd 0.6451 0.6451 0.2902  5 Al 2.44-2.49
5 Ce 0.0013 0.0013 0.0026  12 Al 3.17-3.53, 4 Pd 3.41


Energetically preferred structure: run C | next structure: +23 meV/atom